Compound: Tb2Ge
Source: the Open Quantum Materials Database
Functional: PBE-GGA
Structure: relaxed

As for the total magnetization: 0.5 μB/f.u. Its crystal system is hexagonal. For the calculated total energy, the calculation gives -5.249 eV per atom. For the calculated density, the calculation gives 8.4 g/cm³.

The space group is P-62m (No. 189) and the conventional cell measures 7.9762, 7.9762 and 4.2079 Å, with angles of 90.00, 90.00 and 120.00 degrees. The distinct sites, in fractional coordinates, are Tb at (0.0000, 0.2656, 0.0000), Tb at (0.0000, 0.5966, 0.5000), Ge at (0.0000, 0.0000, 0.5000) and Ge at (0.3333, 0.6667, 0.0000).